1.
# Dy2YHo3Se6 | Alexandria | PBE | optimized geometry
data_Dy2YHo3Se6
_space_group_name_H-M_alt 'C 1 2/m 1'
_space_group_IT_number 12
_cell_length_a 17.721
_cell_length_b 4.055
_cell_length_c 8.167
_cell_angle_alpha 90.00
_cell_angle_beta 103.55
_cell_angle_gamma 90.00
loop_
_space_group_symop_operation_xyz
'x,y,z'
'-x,-y,-z'
'-x,y,-z'
'x,-y,z'
'x+1/2,y+1/2,z'
'-x+1/2,-y+1/2,-z'
'-x+1/2,y+1/2,-z'
'x+1/2,-y+1/2,z'
loop_
_atom_site_label
_atom_site_fract_x
_atom_site_fract_y
_atom_site_fract_z
_atom_site_occupancy
Dy1 0.167 0.000 0.333 1
Y1 0.000 0.500 0.000 1
Ho1 0.000 0.500 0.500 1
Ho2 0.166 0.000 0.833 1
Se1 0.000 0.000 0.252 1
Se2 0.166 0.500 0.584 1
Se3 0.167 0.500 0.082 1
# - theoretical density (Mg/m³) = 8.05
# - formation energy from raw total energies (eV/atom) = -1.738


2.
# Na2As2Pb | Alexandria | PBE | optimized geometry
data_Na2As2Pb
_space_group_name_H-M_alt 'C 1 2/m 1'
_space_group_IT_number 12
_cell_length_a 12.063
_cell_length_b 4.889
_cell_length_c 10.177
_cell_angle_alpha 90.00
_cell_angle_beta 117.94
_cell_angle_gamma 90.00
loop_
_space_group_symop_operation_xyz
'x,y,z'
'-x,-y,-z'
'-x,y,-z'
'x,-y,z'
'x+1/2,y+1/2,z'
'-x+1/2,-y+1/2,-z'
'-x+1/2,y+1/2,-z'
'x+1/2,-y+1/2,z'
loop_
_atom_site_label
_atom_site_fract_x
_atom_site_fract_y
_atom_site_fract_z
_atom_site_occupancy
Na1 0.025 0.000 0.201 1
Na2 0.183 0.000 0.584 1
As1 0.045 0.500 0.410 1
As2 0.121 0.500 0.076 1
Pb1 0.202 0.500 0.845 1
# - theoretical density (Mg/m³) = 5.05
# - energy of formation (eV per atom) = -0.26


3.
# NdTm3Se4 | Alexandria | PBE | optimized geometry
data_NdTm3Se4
_space_group_name_H-M_alt 'I 4/m m m'
_space_group_IT_number 139
_space_group_name_Hall '-I 4 2'
_cell_length_a 5.757
_cell_length_b 5.757
_cell_length_c 11.549
_cell_angle_alpha 90.00
_cell_angle_beta 90.00
_cell_angle_gamma 90.00
loop_
_atom_site_label
_atom_site_fract_x
_atom_site_fract_y
_atom_site_fract_z
_atom_site_occupancy
Nd1 0.000 0.000 0.000 1
Tm1 0.000 0.000 0.500 1
Tm2 0.000 0.500 0.250 1
Se1 0.000 0.000 0.257 1
Se2 0.000 0.500 0.000 1
# - theoretical density (Mg/m³) = 8.39
# - formation energy from raw total energies (eV/atom) = -1.684


4.
# TmBe6Ni2 | Alexandria | PBE | optimized geometry
data_TmBe6Ni2
_space_group_name_H-M_alt 'I m m m'
_space_group_IT_number 71
_space_group_name_Hall '-I 2 2'
_cell_length_a 3.624
_cell_length_b 5.868
_cell_length_c 9.501
_cell_angle_alpha 90.00
_cell_angle_beta 90.00
_cell_angle_gamma 90.00
loop_
_atom_site_label
_atom_site_fract_x
_atom_site_fract_y
_atom_site_fract_z
_atom_site_occupancy
Tm1 0.000 0.000 0.000 1
Be1 0.000 0.162 0.500 1
Be2 0.000 0.202 0.290 1
Ni1 0.000 0.500 0.135 1
# - theoretical density (Mg/m³) = 5.60
# - energy of formation (eV per atom) = -0.08